No. 1
Ti3MoS: optimized geometry, GGA-PBE.

- Crystal system: cubic
- Formation energy (no corrections): 828 meV/atom

Unit cell a=4.749 b=4.749 c=4.749 alpha=90.00 beta=90.00 gamma=90.00
Each line ends with the local moment (μB).
Fractional positions:
Ti 0.000 0.000 0.500  0.41
Ti 0.000 0.500 0.000  0.52
Ti 0.500 0.000 0.000  0.84
S 0.500 0.500 0.500  -0.04
Mo 0.000 0.000 0.000  -0.11

***

No. 2
K2SnHg: optimized geometry, GGA-PBE.

- Crystal system: cubic
- Formation energy: -14 kJ/mol of formula units

Unit cell a=6.020 b=6.020 c=6.020 alpha=60.00 beta=60.00 gamma=60.00
Each line ends with the local moment (μB).
Fractional positions:
Sn 0.000 0.000 0.000  0.62
K 0.250 0.250 0.250  0.03
K 0.750 0.750 0.750  0.03
Hg 0.500 0.500 0.500  0.07

***

No. 3
Tm2MnTc: optimized geometry, GGA-PBE.

- Crystal system: cubic
- Formation energy: 23 kJ/mol of formula units

Unit cell a=4.851 b=4.851 c=4.851 alpha=60.00 beta=60.00 gamma=60.00
Each line ends with the local moment (μB).
Fractional positions:
Tm 0.250 0.250 0.250  -0.06
Tm 0.750 0.750 0.750  -0.06
Tc 0.000 0.000 0.000  0.25
Mn 0.500 0.500 0.500  3.42